NiMoPt4: optimized geometry, PBE.

Lattice parameters (Å, degrees): 6.985 5.394 4.813 90.00 90.00 83.04
Site moments in Bohr magnetons follow the coordinates.
Fractional coordinates of all 12 atoms:
Pt1 0.333 0.916 0.087  0.04
Pt2 0.333 0.416 0.913  0.04
Pt3 0.170 0.579 0.414  0.05
Pt4 0.830 0.421 0.586  0.05
Pt5 0.667 0.084 0.913  0.04
Pt6 0.667 0.584 0.087  0.04
Pt7 0.830 0.921 0.414  0.05
Pt8 0.170 0.079 0.586  0.05
Mo1 0.000 0.750 0.919  0.02
Mo2 0.000 0.250 0.081  0.02
Ni1 0.500 0.750 0.584  0.46
Ni2 0.500 0.250 0.416  0.46

Offset from the most stable computed form = 0 meV/atom
Energy of formation = -1.04 eV/f.u.

SrAsPSe2: optimized geometry, PBE.

Lattice parameters (Å, degrees): 5.838 5.838 6.043 90.00 90.00 90.00
Site moments in Bohr magnetons follow the coordinates.
Fractional coordinates of all 5 atoms:
As1 0.000 0.000 0.500  0.72
Sr1 0.000 0.000 0.000  0.01
Se1 0.000 0.500 0.000  0.43
Se2 0.500 0.000 0.000  0.43
P1 0.500 0.500 0.500  -1.00

Offset from the most stable computed form = 1359 meV/atom
E_form (uncorrected) = 0.972 eV/atom

LiDy2Lu: optimized geometry, PBE.

Lattice parameters (Å, degrees): 3.752 5.495 5.495 90.00 90.00 90.00
Fractional coordinates of all 4 atoms:
Li1 0.500 0.000 0.000
Dy1 0.000 0.500 0.000
Dy2 0.000 0.000 0.500
Lu1 0.500 0.500 0.500

Offset from the most stable computed form = 59 meV/atom
Energy of formation = 0.54 eV/f.u.

LaV2Te: optimized geometry, PBE.

Lattice parameters (Å, degrees): 8.097 8.097 6.530 51.69 51.69 90.00
Site moments in Bohr magnetons follow the coordinates.
Fractional coordinates of all 8 atoms:
La1 0.750 0.250 0.500  0.06
La2 0.000 0.000 0.000  0.06
V1 0.182 0.625 0.250  2.35
V2 0.375 0.432 0.750  2.35
V3 0.875 0.818 0.750  2.35
V4 0.568 0.125 0.250  2.35
Te1 0.250 0.750 0.500  -0.07
Te2 0.500 0.500 0.000  -0.07

Offset from the most stable computed form = 261 meV/atom
E_form (uncorrected) = 0.508 eV/atom

YTc3Pd: optimized geometry, PBE.

Lattice parameters (Å, degrees): 4.750 4.750 4.750 90.00 90.00 90.00
Site moments in Bohr magnetons follow the coordinates.
Fractional coordinates of all 5 atoms:
Tc1 0.000 0.000 0.500  0.13
Tc2 0.000 0.500 0.000  0.09
Tc3 0.500 0.000 0.000  0.05
Y1 0.500 0.500 0.500  -0.01
Pd1 0.000 0.000 0.000  0.03

Offset from the most stable computed form = 0 meV/atom
Energy of formation = 7.33 eV/f.u.

PaGeCl: optimized geometry, PBE.

Lattice parameters (Å, degrees): 4.497 4.497 9.144 75.77 75.77 60.00
Fractional coordinates of all 6 atoms:
Ge1 0.633 0.633 0.102
Ge2 0.367 0.367 0.898
Cl1 0.871 0.871 0.386
Cl2 0.129 0.129 0.614
Pa1 0.258 0.258 0.225
Pa2 0.742 0.742 0.775

E_form (uncorrected) = -0.640 eV/atom

Sc2TeSe: optimized geometry, PBE.

Lattice parameters (Å, degrees): 7.030 7.030 7.030 33.04 33.04 33.04
Fractional coordinates of all 4 atoms:
Te1 0.750 0.750 0.750
Sc1 0.987 0.987 0.987
Sc2 0.513 0.513 0.513
Se1 0.250 0.250 0.250

Offset from the most stable computed form = 21 meV/atom
E_form (uncorrected) = -1.373 eV/atom

Ce2HPt: optimized geometry, PBE.

Lattice parameters (Å, degrees): 3.299 3.299 6.660 90.00 90.00 90.00
Site moments in Bohr magnetons follow the coordinates.
Fractional coordinates of all 4 atoms:
Ce1 0.000 0.000 0.206  0.41
Ce2 0.000 0.000 0.794  0.41
H1 0.500 0.500 0.000  0.00
Pt1 0.500 0.500 0.500  -0.02

Offset from the most stable computed form = 132 meV/atom

ScAg3F6: optimized geometry, PBE.

Lattice parameters (Å, degrees): 5.898 5.898 10.777 90.00 90.00 120.00
Fractional coordinates of all 20 atoms:
F1 0.931 0.312 0.865
F2 0.688 0.620 0.865
F3 0.380 0.312 0.635
F4 0.620 0.931 0.365
F5 0.380 0.069 0.865
F6 0.312 0.931 0.135
F7 0.620 0.688 0.135
F8 0.312 0.380 0.365
F9 0.069 0.688 0.365
F10 0.069 0.380 0.135
F11 0.688 0.069 0.635
F12 0.931 0.620 0.635
Sc1 0.333 0.667 0.250
Sc2 0.667 0.333 0.750
Ag1 0.667 0.333 0.065
Ag2 0.667 0.333 0.435
Ag3 0.000 0.000 0.000
Ag4 0.333 0.667 0.565
Ag5 0.000 0.000 0.500
Ag6 0.333 0.667 0.935

E_form (uncorrected) = -2.145 eV/atom

K2SrPd: optimized geometry, PBE.

Lattice parameters (Å, degrees): 5.970 5.970 5.970 60.00 60.00 60.00
Fractional coordinates of all 4 atoms:
K1 0.250 0.250 0.250
K2 0.750 0.750 0.750
Sr1 0.000 0.000 0.000
Pd1 0.500 0.500 0.500

Offset from the most stable computed form = 209 meV/atom
Energy of formation = 1.13 eV/f.u.

La3CS2: optimized geometry, PBE.

Lattice parameters (Å, degrees): 5.855 8.006 7.152 106.23 114.16 90.00
Fractional coordinates of all 12 atoms:
La1 0.854 0.427 0.708
La2 0.478 0.250 0.000
La3 0.522 0.750 0.000
La4 0.854 0.927 0.708
La5 0.146 0.573 0.292
La6 0.146 0.073 0.292
C1 0.962 0.750 0.000
C2 0.038 0.250 0.000
S1 0.672 0.086 0.343
S2 0.672 0.586 0.343
S3 0.328 0.414 0.657
S4 0.328 0.914 0.657

Offset from the most stable computed form = 21 meV/atom
E_form (uncorrected) = -1.466 eV/atom

KNaLi: optimized geometry, PBE.

Lattice parameters (Å, degrees): 4.177 4.177 7.734 105.67 105.67 90.00
Fractional coordinates of all 3 atoms:
K1 0.007 0.007 0.015
Na1 0.299 0.299 0.599
Li1 0.693 0.693 0.387

Offset from the most stable computed form = 0 meV/atom
Energy of formation = 0.26 eV/f.u.

| no. | total magnetic moment (μB/cell) |
| --- | --- |
| 1 | 1.31 |
| 2 | 0.77 |
| 3 | 0.00 |
| 4 | 11.34 |
| 5 | 0.30 |
| 6 | 0.00 |
| 7 | 0.00 |
| 8 | 0.92 |
| 9 | 0.00 |
| 10 | 0.00 |
| 11 | 0.00 |
| 12 | 0.00 |